P.
Material: Th2ZnFe
Method: DFT, PBE
State: relaxed

The structure in extended XYZ format:
```
16
Lattice="6.544 0.000 0.000 0.000 5.159 0.000 0.000 0.000 11.066" Properties=species:S:1:pos:R:3 pbc="T T T"
Th 0.018 1.290 2.758
Th 1.615 1.290 6.066
Th 1.657 3.869 0.533
Th 3.254 3.869 8.291
Th 3.290 1.290 2.775
Th 4.887 1.290 10.533
Th 4.929 3.869 5.000
Th 6.526 3.869 8.308
Zn 1.615 1.290 9.414
Zn 1.657 3.869 3.881
Zn 4.888 1.290 7.185
Zn 4.929 3.869 1.652
Fe 1.615 3.869 6.386
Fe 1.657 1.290 0.853
Fe 4.887 3.869 10.213
Fe 4.929 1.290 4.680
```

Summary:
The crystal system is orthorhombic. The density of states at the Fermi level is 0.647 states/eV/atom. As for the volume: 373.6 Å³ per cell. As for the total magnetic moment: 0.0 μB/cell.

Q.
Material: Th2ZnFe
Method: DFT, PBE
State: relaxed

The structure in extended XYZ format:
```
16
Lattice="7.153 0.000 0.000 0.000 7.153 0.000 0.000 0.000 7.153" Properties=species:S:1:pos:R:3 pbc="T T T"
Th 1.788 1.788 1.788
Th 1.788 1.788 5.365
Th 1.788 5.365 1.788
Th 1.788 5.365 5.365
Th 5.365 1.788 1.788
Th 5.365 1.788 5.365
Th 5.365 5.365 1.788
Th 5.365 5.365 5.365
Zn 0.000 0.000 0.000
Zn 0.000 3.577 3.577
Zn 3.577 0.000 3.577
Zn 3.577 3.577 0.000
Fe 0.000 0.000 3.577
Fe 0.000 3.577 0.000
Fe 3.577 0.000 0.000
Fe 3.577 3.577 3.577
```

Summary:
The crystal system is cubic. The density of states at the Fermi level is 1.281 states/eV/atom. As for the volume: 366.0 Å³ per cell. As for the total magnetic moment: 2.7 μB/cell.

What should be chosen as the least stable of them? Choose Q.

P.
Material: Th4ZnFe
Method: DFT, PBE
State: relaxed

The structure in extended XYZ format:
```
12
Lattice="7.232 0.000 0.000 0.000 7.232 0.000 0.000 0.000 5.886" Properties=species:S:1:pos:R:3 pbc="T T T"
Th 1.066 2.311 0.000
Th 1.066 4.921 2.943
Th 2.311 1.066 2.943
Th 2.311 6.166 0.000
Th 4.921 1.066 0.000
Th 4.921 6.166 2.943
Th 6.166 2.311 2.943
Th 6.166 4.921 0.000
Zn 3.616 3.616 1.472
Zn 3.616 3.616 4.415
Fe 0.000 0.000 1.472
Fe 0.000 0.000 4.415
```

Summary:
The crystal system is tetragonal. The density of states at the Fermi level is 1.292 states/eV/atom. As for the volume: 307.9 Å³ per cell. As for the total magnetic moment: 0.0 μB/cell.

Q.
Material: Th4ZnFe
Method: DFT, PBE
State: relaxed

The structure in extended XYZ format:
```
12
Lattice="6.700 0.000 0.000 0.000 6.700 0.000 0.000 0.000 7.229" Properties=species:S:1:pos:R:3 pbc="T T T"
Th 1.292 1.909 2.877
Th 1.441 4.641 0.738
Th 1.909 5.408 4.352
Th 2.058 1.441 6.491
Th 4.641 5.259 6.491
Th 4.791 1.292 4.352
Th 5.259 2.058 0.738
Th 5.408 4.791 2.877
Zn 0.000 3.350 5.422
Zn 3.350 0.000 1.807
Fe 0.000 0.000 0.000
Fe 3.350 3.350 3.615
```

Summary:
The crystal system is tetragonal. The density of states at the Fermi level is 1.399 states/eV/atom. As for the volume: 324.5 Å³ per cell. As for the total magnetic moment: 0.0 μB/cell.

What should be chosen as the least stable of them? Choose Q.

P.
Material: Th3ZnFe
Method: DFT, PBE
State: relaxed

The structure in extended XYZ format:
```
5
Lattice="5.183 0.000 0.000 0.000 5.183 0.000 0.000 0.000 5.183" Properties=species:S:1:pos:R:3 pbc="T T T"
Th 0.000 0.000 2.592
Th 0.000 2.592 0.000
Th 2.592 0.000 0.000
Zn 2.592 2.592 2.592
Fe 0.000 0.000 0.000
```

Summary:
The crystal system is cubic. The density of states at the Fermi level is 1.177 states/eV/atom. As for the volume: 139.2 Å³ per cell. As for the total magnetic moment: 0.0 μB/cell.

Q.
Material: Th3ZnFe
Method: DFT, PBE
State: relaxed

The structure in extended XYZ format:
```
10
Lattice="3.707 -7.204 0.000 3.707 7.204 0.000 0.000 0.000 5.019" Properties=species:S:1:pos:R:3 pbc="T T T"
Th 1.853 3.602 2.510
Th 3.707 5.435 0.000
Th 2.185 0.000 2.510
Th 1.853 -3.602 2.510
Th 5.229 0.000 2.510
Th 3.707 -5.435 0.000
Zn 3.707 1.779 0.000
Zn 3.707 -1.779 0.000
Fe 3.707 5.305 2.510
Fe 3.707 -5.305 2.510
```

Summary:
The crystal system is orthorhombic. The density of states at the Fermi level is 0.720 states/eV/atom. As for the volume: 268.1 Å³ per cell. As for the total magnetic moment: 0.0 μB/cell.

What should be chosen as the least stable of them? Choose P.

P.
Material: ThZr2Fe
Method: DFT, PBE
State: relaxed

The structure in extended XYZ format:
```
16
Lattice="6.973 0.000 0.000 0.000 6.973 0.000 0.000 0.000 6.973" Properties=species:S:1:pos:R:3 pbc="T T T"
Th 0.000 0.000 0.000
Th 0.000 3.487 3.487
Th 3.487 0.000 3.487
Th 3.487 3.487 0.000
Zr 1.743 1.743 1.743
Zr 1.743 1.743 5.230
Zr 1.743 5.230 1.743
Zr 1.743 5.230 5.230
Zr 5.230 1.743 1.743
Zr 5.230 1.743 5.230
Zr 5.230 5.230 1.743
Zr 5.230 5.230 5.230
Fe 0.000 0.000 3.487
Fe 0.000 3.487 0.000
Fe 3.487 0.000 0.000
Fe 3.487 3.487 3.487
```

Summary:
The crystal system is cubic. The density of states at the Fermi level is 1.527 states/eV/atom. As for the volume: 339.1 Å³ per cell. As for the total magnetic moment: 4.3 μB/cell.

Q.
Material: ThZr2Fe
Method: DFT, PBE
State: relaxed

The structure in extended XYZ format:
```
4
Lattice="3.278 0.000 0.000 0.000 3.278 0.000 0.000 0.000 8.095" Properties=species:S:1:pos:R:3 pbc="T T T"
Th 0.000 0.000 0.000
Zr 1.639 1.639 2.527
Zr 1.639 1.639 5.568
Fe 0.000 0.000 4.047
```

Summary:
The crystal system is tetragonal. The density of states at the Fermi level is 0.972 states/eV/atom. As for the volume: 87.0 Å³ per cell. As for the total magnetic moment: 0.7 μB/cell.

What should be chosen as the least stable of them? Choose P.

P.
Material: TiFe4
Method: DFT, PBE
State: relaxed

The structure in extended XYZ format:
```
5
Lattice="0.000 1.788 9.384 1.781 0.000 9.384 1.781 1.788 0.000" Properties=species:S:1:pos:R:3 pbc="T T T"
Ti 0.000 0.000 0.000
Fe 1.781 1.788 3.745
Fe 1.781 1.788 7.329
Fe 1.781 1.788 11.440
Fe 1.781 1.788 15.024
```

Summary:
The crystal system is orthorhombic. The density of states at the Fermi level is 1.134 states/eV/atom. As for the volume: 59.8 Å³ per cell. As for the total magnetic moment: 1.4 μB/cell.

Q.
Material: TiFe4
Method: DFT, PBE
State: relaxed

The structure in extended XYZ format:
```
5
Lattice="4.263 0.000 0.000 0.000 4.263 0.000 0.000 0.000 4.263" Properties=species:S:1:pos:R:3 pbc="T T T"
Ti 0.000 0.000 0.000
Fe 0.000 0.000 2.132
Fe 0.000 2.132 0.000
Fe 2.132 0.000 0.000
Fe 2.132 2.132 2.132
```

Summary:
The crystal system is cubic. The density of states at the Fermi level is 1.423 states/eV/atom. As for the volume: 77.5 Å³ per cell. As for the total magnetic moment: 8.5 μB/cell.

What should be chosen as the least stable of them? Choose Q.

P.
Material: Ti2V2Fe
Method: DFT, PBE
State: relaxed

The structure in extended XYZ format:
```
10
Lattice="5.936 0.000 0.000 0.000 5.936 0.000 0.000 0.000 4.210" Properties=species:S:1:pos:R:3 pbc="T T T"
Ti 0.970 1.998 0.000
Ti 1.998 4.966 0.000
Ti 3.938 0.970 0.000
Ti 4.966 3.938 0.000
V 0.891 3.859 2.105
V 2.078 0.891 2.105
V 3.859 5.046 2.105
V 5.046 2.078 2.105
Fe 0.000 0.000 2.105
Fe 2.968 2.968 2.105
```

Summary:
The crystal system is tetragonal. The density of states at the Fermi level is 1.023 states/eV/atom. As for the volume: 148.3 Å³ per cell. As for the total magnetic moment: 0.0 μB/cell.

Q.
Material: Ti2V2Fe
Method: DFT, PBE
State: relaxed

The structure in extended XYZ format:
```
10
Lattice="3.016 0.000 0.000 0.000 3.016 0.000 0.000 0.000 15.249" Properties=species:S:1:pos:R:3 pbc="T T T"
Ti 0.000 0.000 1.457
Ti 0.000 0.000 13.793
Ti 1.508 1.508 6.168
Ti 1.508 1.508 9.081
V 0.000 0.000 4.466
V 0.000 0.000 10.783
V 1.508 1.508 3.159
V 1.508 1.508 12.091
Fe 0.000 0.000 7.625
Fe 1.508 1.508 0.000
```

Summary:
The crystal system is tetragonal. The density of states at the Fermi level is 1.173 states/eV/atom. As for the volume: 138.7 Å³ per cell. As for the total magnetic moment: 0.0 μB/cell.

What should be chosen as the least stable of them? Choose P.

P.
Material: Ti3FeW
Method: DFT, PBE
State: relaxed

The structure in extended XYZ format:
```
5
Lattice="4.694 0.000 0.000 0.000 4.694 0.000 0.000 0.000 4.694" Properties=species:S:1:pos:R:3 pbc="T T T"
Ti 0.000 0.000 2.347
Ti 0.000 2.347 0.000
Ti 2.347 0.000 0.000
Fe 2.347 2.347 2.347
W 0.000 0.000 0.000
```

Summary:
The crystal system is cubic. The density of states at the Fermi level is 1.457 states/eV/atom. As for the volume: 103.5 Å³ per cell. As for the total magnetic moment: 0.0 μB/cell.

Q.
Material: Ti3FeW
Method: DFT, PBE
State: relaxed

The structure in extended XYZ format:
```
5
Lattice="4.397 0.000 0.000 0.000 4.397 0.000 0.000 0.000 4.397" Properties=species:S:1:pos:R:3 pbc="T T T"
Ti 0.000 0.000 2.199
Ti 0.000 2.199 0.000
Ti 2.199 0.000 0.000
Fe 0.000 0.000 0.000
W 2.199 2.199 2.199
```

Summary:
The crystal system is cubic. The density of states at the Fermi level is 1.425 states/eV/atom. As for the volume: 85.0 Å³ per cell. As for the total magnetic moment: 0.0 μB/cell.

What should be chosen as the least stable of them? Choose P.

P.
Material: TiFeW2
Method: DFT, PBE
State: relaxed

The structure in extended XYZ format:
```
16
Lattice="7.060 0.000 0.000 0.000 7.060 0.000 0.000 0.000 5.107" Properties=species:S:1:pos:R:3 pbc="T T T"
Ti 0.000 0.000 0.000
Ti 0.000 3.530 1.277
Ti 3.530 0.000 3.830
Ti 3.530 3.530 2.553
Fe 0.000 0.000 2.553
Fe 0.000 3.530 3.830
Fe 3.530 0.000 1.277
Fe 3.530 3.530 0.000
W 1.500 1.765 3.192
W 1.765 5.030 4.468
W 1.765 5.560 1.915
W 2.030 1.765 0.638
W 5.030 5.295 0.638
W 5.295 1.500 1.915
W 5.295 2.030 4.468
W 5.560 5.295 3.192
```

Summary:
The crystal system is tetragonal. The density of states at the Fermi level is 1.215 states/eV/atom. As for the volume: 254.5 Å³ per cell. As for the total magnetic moment: 0.0 μB/cell.

Q.
Material: TiFeW2
Method: DFT, PBE
State: relaxed

The structure in extended XYZ format:
```
16
Lattice="6.138 0.000 0.000 0.000 6.138 0.000 0.000 0.000 6.138" Properties=species:S:1:pos:R:3 pbc="T T T"
Ti 0.000 0.000 0.000
Ti 0.000 3.069 3.069
Ti 3.069 0.000 3.069
Ti 3.069 3.069 0.000
Fe 0.000 0.000 3.069
Fe 0.000 3.069 0.000
Fe 3.069 0.000 0.000
Fe 3.069 3.069 3.069
W 1.534 1.534 1.534
W 1.534 1.534 4.603
W 1.534 4.603 1.534
W 1.534 4.603 4.603
W 4.603 1.534 1.534
W 4.603 1.534 4.603
W 4.603 4.603 1.534
W 4.603 4.603 4.603
```

Summary:
The crystal system is cubic. The density of states at the Fermi level is 1.594 states/eV/atom. As for the volume: 231.2 Å³ per cell. As for the total magnetic moment: 0.0 μB/cell.

What should be chosen as the least stable of them? Choose P.

P.
Material: TiFeW3
Method: DFT, PBE
State: relaxed

The structure in extended XYZ format:
```
5
Lattice="4.467 0.000 0.000 0.000 4.467 0.000 0.000 0.000 4.467" Properties=species:S:1:pos:R:3 pbc="T T T"
Ti 0.000 0.000 0.000
Fe 2.234 2.234 2.234
W 0.000 2.234 2.234
W 2.234 0.000 2.234
W 2.234 2.234 0.000
```

Summary:
The crystal system is cubic. The density of states at the Fermi level is 0.882 states/eV/atom. As for the volume: 89.2 Å³ per cell. As for the total magnetic moment: 0.0 μB/cell.

Q.
Material: TiFeW3
Method: DFT, PBE
State: relaxed

The structure in extended XYZ format:
```
5
Lattice="4.509 0.000 0.000 0.000 4.509 0.000 0.000 0.000 4.509" Properties=species:S:1:pos:R:3 pbc="T T T"
Ti 0.000 0.000 0.000
Fe 2.255 2.255 2.255
W 0.000 0.000 2.255
W 0.000 2.255 0.000
W 2.255 0.000 0.000
```

Summary:
The crystal system is cubic. The density of states at the Fermi level is 1.633 states/eV/atom. As for the volume: 91.7 Å³ per cell. As for the total magnetic moment: 0.0 μB/cell.

What should be chosen as the least stable of them? Choose Q.

P.
Material: TiFeW
Method: DFT, PBE
State: relaxed

The structure in extended XYZ format:
```
6
Lattice="3.113 0.000 0.000 0.000 3.113 0.000 0.000 0.000 9.046" Properties=species:S:1:pos:R:3 pbc="T T T"
Ti 0.778 0.778 2.090
Ti 2.335 2.335 6.955
Fe 0.778 0.778 8.389
Fe 2.335 2.335 0.657
W 0.778 0.778 5.283
W 2.335 2.335 3.763
```

Summary:
The crystal system is tetragonal. The density of states at the Fermi level is 1.070 states/eV/atom. As for the volume: 87.7 Å³ per cell. As for the total magnetic moment: 3.3 μB/cell.

Q.
Material: TiFeW
Method: DFT, PBE
State: relaxed

The structure in extended XYZ format:
```
12
Lattice="4.496 0.000 0.000 0.000 7.763 0.000 0.000 0.000 5.030" Properties=species:S:1:pos:R:3 pbc="T T T"
Ti 0.000 1.289 1.258
Ti 0.000 6.474 3.773
Ti 2.248 2.593 3.773
Ti 2.248 5.170 1.258
Fe 0.000 1.299 3.773
Fe 0.000 6.464 1.258
Fe 2.248 2.582 1.258
Fe 2.248 5.181 3.773
W 0.000 3.882 0.000
W 0.000 3.882 2.515
W 2.248 0.000 0.000
W 2.248 0.000 2.515
```

Summary:
The crystal system is orthorhombic. The density of states at the Fermi level is 1.396 states/eV/atom. As for the volume: 175.6 Å³ per cell. As for the total magnetic moment: 5.7 μB/cell.

What should be chosen as the least stable of them? Choose Q.

P.
Material: YTi2Fe2
Method: DFT, PBE
State: relaxed

The structure in extended XYZ format:
```
10
Lattice="4.269 0.000 0.000 0.000 4.269 0.000 0.000 0.000 9.676" Properties=species:S:1:pos:R:3 pbc="T T T"
Y 0.000 0.000 0.000
Y 2.134 2.134 4.838
Ti 0.000 0.000 3.403
Ti 0.000 0.000 6.273
Ti 2.134 2.134 1.435
Ti 2.134 2.134 8.241
Fe 0.000 2.134 2.419
Fe 0.000 2.134 7.257
Fe 2.134 0.000 2.419
Fe 2.134 0.000 7.257
```

Summary:
The crystal system is tetragonal. The density of states at the Fermi level is 0.403 states/eV/atom. As for the volume: 176.3 Å³ per cell. As for the total magnetic moment: 2.4 μB/cell.

Q.
Material: YTi2Fe2
Method: DFT, PBE
State: relaxed

The structure in extended XYZ format:
```
10
Lattice="7.352 0.000 0.000 0.000 7.352 0.000 0.000 0.000 3.000" Properties=species:S:1:pos:R:3 pbc="T T T"
Y 0.000 0.000 0.000
Y 3.676 3.676 0.000
Ti 1.029 2.647 1.500
Ti 2.647 6.323 1.500
Ti 4.705 1.029 1.500
Ti 6.323 4.705 1.500
Fe 1.030 4.706 0.000
Fe 2.646 1.030 0.000
Fe 4.706 6.322 0.000
Fe 6.322 2.646 0.000
```

Summary:
The crystal system is tetragonal. The density of states at the Fermi level is 0.641 states/eV/atom. As for the volume: 162.1 Å³ per cell. As for the total magnetic moment: 0.0 μB/cell.

What should be chosen as the least stable of them? Choose P.

P.
Material: YTi2Fe2
Method: DFT, PBE
State: relaxed

The structure in extended XYZ format:
```
10
Lattice="7.493 0.000 0.000 0.000 7.493 0.000 0.000 0.000 2.874" Properties=species:S:1:pos:R:3 pbc="T T T"
Y 0.000 0.000 0.000
Y 3.746 3.746 0.000
Ti 1.012 2.735 0.000
Ti 2.735 6.481 0.000
Ti 4.758 1.012 0.000
Ti 6.481 4.758 0.000
Fe 1.078 4.824 1.437
Fe 2.669 1.078 1.437
Fe 4.824 6.415 1.437
Fe 6.415 2.669 1.437
```

Summary:
The crystal system is tetragonal. The density of states at the Fermi level is 1.184 states/eV/atom. As for the volume: 161.4 Å³ per cell. As for the total magnetic moment: 1.8 μB/cell.

Q.
Material: YTi2Fe2
Method: DFT, PBE
State: relaxed

The structure in extended XYZ format:
```
10
Lattice="4.030 0.000 0.000 0.000 4.030 0.000 0.000 0.000 10.460" Properties=species:S:1:pos:R:3 pbc="T T T"
Y 0.000 0.000 0.000
Y 2.015 2.015 5.230
Ti 0.000 2.015 2.615
Ti 0.000 2.015 7.845
Ti 2.015 0.000 2.615
Ti 2.015 0.000 7.845
Fe 0.000 0.000 4.088
Fe 0.000 0.000 6.372
Fe 2.015 2.015 1.142
Fe 2.015 2.015 9.318
```

Summary:
The crystal system is tetragonal. The density of states at the Fermi level is 1.354 states/eV/atom. As for the volume: 169.9 Å³ per cell. As for the total magnetic moment: 0.0 μB/cell.

What should be chosen as the least stable of them? Choose P.